# MnClF5 (PBE+U, optimized geometry)
# total moment	3.00	μB/f.u.
# total energy	-58.8	eV/cell
data_MnClF5
_chemical_formula_sum 'Mn2 Cl2 F10'
_symmetry_space_group_name_H-M 'P -1'
_symmetry_Int_Tables_number 2
_symmetry_space_group_name_Hall '-P 1'
_cell_length_a 5.6270
_cell_length_b 5.9813
_cell_length_c 7.4135
_cell_angle_alpha 105.88
_cell_angle_beta 107.84
_cell_angle_gamma 94.76
loop_
_atom_site_label
_atom_site_type_symbol
_atom_site_fract_x
_atom_site_fract_y
_atom_site_fract_z
Mn1 Mn 0.0000 0.0000 0.0000
Mn2 Mn 0.0000 0.0000 0.5000
Cl1 Cl 0.4753 0.4941 0.1863
F1 F 0.0915 0.7205 0.9232
F2 F 0.0974 0.9885 0.2636
F3 F 0.1456 0.7465 0.5141
F4 F 0.3366 0.1532 0.0556
F5 F 0.3960 0.2088 0.6969